No. 1
# Fe2Pb3

An optimized crystal structure of Fe2Pb3 (PBE-GGA, the Open Quantum Materials Database).

Computed properties:
Energy: -51.1 eV/cell

a b c (Å): 7.0674 7.0674 7.0674
angles (deg): 56.76 56.76 56.76
With the nearest neighbours (Å) after each atom.
Atoms (fractional coordinates):
Fe  0.1839  0.1839  0.1839  1 Fe 2.34
Fe  0.3161  0.3161  0.3161  1 Fe 2.34
Fe  0.6839  0.6839  0.6839  1 Fe 2.34
Fe  0.8161  0.8161  0.8161  1 Fe 2.34
Pb  0.1236  0.7500  0.3764  4 Fe 2.77
Pb  0.2500  0.6236  0.8764  4 Fe 2.77
Pb  0.3764  0.1236  0.7500  4 Fe 2.77
Pb  0.6236  0.8764  0.2500  4 Fe 2.77
Pb  0.7500  0.3764  0.1236  4 Fe 2.77
Pb  0.8764  0.2500  0.6236  4 Fe 2.77

No. 2
# GdHoSe2F2

An optimized crystal structure of GdHoSe2F2 (PBE-GGA, the Open Quantum Materials Database).

Computed properties:
Energy: -37.1 eV/cell

a b c (Å): 3.8569 3.8569 7.0248
angles (deg): 90.00 90.00 90.00
With the nearest neighbours (Å) after each atom.
Atoms (fractional coordinates):
Gd  0.0000  0.0000  0.0000  4 F 2.46
Ho  0.5000  0.5000  0.5672  4 F 2.45
Se  0.0000  0.0000  0.4271  4 Ho 2.90, 1 Gd 3.00, 4 F 3.15
Se  0.5000  0.5000  0.1454  4 Gd 2.91, 1 Ho 2.96, 4 F 3.20
F  0.0000  0.5000  0.7818  2 Ho 2.45, 2 Gd 2.46, 4 F 2.73
F  0.5000  0.0000  0.7818  2 Ho 2.45, 2 Gd 2.46, 4 F 2.73

No. 3
# Co3Os3W2

An optimized crystal structure of Co3Os3W2 (PBE-GGA, the Open Quantum Materials Database).

Computed properties:
Polymorph energy (0 for the lowest one): 0 meV/atom

a b c (Å): 5.3459 4.2671 5.3533
angles (deg): 90.00 119.85 90.00
With the nearest neighbours (Å) after each atom.
Atoms (fractional coordinates):
Co  0.0000  0.0000  0.0000  6 Os 2.62-2.68, 4 W 2.63-2.72, 2 Co 2.64-2.72
Co  0.0104  0.0000  0.5123  4 Co 2.59-2.72, 4 Os 2.60-2.76, 4 W 2.64-2.71
Co  0.3275  0.5000  0.6686  6 Os 2.57-2.78, 2 Co 2.59, 4 W 2.61-2.75
Os  0.3317  0.5000  0.1645  4 Os 2.61-2.76, 4 Co 2.63-2.71, 4 W 2.64-2.71
Os  0.4992  0.0000  0.9957  6 Co 2.61-2.76, 4 W 2.61-2.75, 2 Os 2.64
Os  0.8496  0.5000  0.6743  6 Co 2.57-2.78, 2 Os 2.61-2.76, 4 W 2.65-2.71
W  0.5030  0.0000  0.5104  6 Os 2.61-2.75, 6 Co 2.63-2.72
W  0.8451  0.5000  0.1779  6 Co 2.61-2.75, 6 Os 2.64-2.71

No. 4
# Lu8Tl2C3N3

An optimized crystal structure of Lu8Tl2C3N3 (PBE-GGA, the Open Quantum Materials Database).

Computed properties:
Energy: -107.7 eV/cell

a b c (Å): 3.4318 3.4318 27.0614
angles (deg): 90.00 90.00 120.00
With the nearest neighbours (Å) after each atom.
Atoms (fractional coordinates):
Lu  0.0000  0.0000  0.1471  3 N 2.32
Lu  0.0000  0.0000  0.3459  3 C 2.31
Lu  0.0000  0.0000  0.6541  3 C 2.31
Lu  0.0000  0.0000  0.8529  3 N 2.32
Lu  0.3333  0.6667  0.5538  6 C 2.46-2.50
Lu  0.3333  0.6667  0.9512  6 N 2.38-2.46
Lu  0.6667  0.3333  0.0488  6 N 2.38-2.46
Lu  0.6667  0.3333  0.4462  6 C 2.46-2.50
Tl  0.3333  0.6667  0.7554  6 Lu 3.30-3.38, 6 Tl 3.43
Tl  0.6667  0.3333  0.2446  6 Lu 3.30-3.38, 6 Tl 3.43
C  0.0000  0.0000  0.5000  6 Lu 2.46
C  0.3333  0.6667  0.3898  6 Lu 2.31-2.50
C  0.6667  0.3333  0.6102  6 Lu 2.31-2.50
N  0.0000  0.0000  0.0000  6 Lu 2.38
N  0.3333  0.6667  0.1027  6 Lu 2.32-2.46
N  0.6667  0.3333  0.8973  6 Lu 2.32-2.46

No. 5
# BaMgZn2Sn

An optimized crystal structure of BaMgZn2Sn (PBE-GGA, the Open Quantum Materials Database).

Computed properties:
Energy: -11.4 eV/cell

a b c (Å): 6.7257 6.7257 6.7257
angles (deg): 138.67 138.67 59.87
With the nearest neighbours (Å) after each atom.
Atoms (fractional coordinates):
Ba  0.0000  0.0000  0.0000  4 Mg 3.65, 4 Sn 3.66, 8 Zn 3.72-3.80
Mg  0.6239  0.6239  0.0000  4 Zn 2.77, 1 Sn 2.91
Zn  0.2456  0.7456  0.5000  2 Mg 2.77, 2 Sn 2.81
Zn  0.7456  0.2456  0.5000  2 Mg 2.77, 2 Sn 2.81
Sn  0.3739  0.3739  0.0000  4 Zn 2.81, 1 Mg 2.91

No. 6
# Sm2Dy2CI5

An optimized crystal structure of Sm2Dy2CI5 (PBE-GGA, the Open Quantum Materials Database).

Computed properties:
Polymorph energy (0 for the lowest one): 0 meV/atom

a b c (Å): 9.8981 9.8981 8.7263
angles (deg): 102.18 102.18 23.43
With the nearest neighbours (Å) after each atom.
Atoms (fractional coordinates):
Sm  0.0008  0.0008  0.3064  2 C 2.63
Sm  0.9992  0.9992  0.6936  2 C 2.63
Dy  0.3730  0.3730  0.4370  1 C 2.40
Dy  0.6270  0.6270  0.5630  1 C 2.40
C  0.5000  0.5000  0.5000  2 Dy 2.40, 4 Sm 2.63
I  0.1643  0.1643  0.8337  2 Dy 3.07, 1 Sm 3.17
I  0.1684  0.1684  0.3292  2 Dy 3.09, 1 Sm 3.21
I  0.5000  0.5000  0.0000  4 Sm 3.34
I  0.8316  0.8316  0.6708  2 Dy 3.09, 1 Sm 3.21
I  0.8357  0.8357  0.1663  2 Dy 3.07, 1 Sm 3.17

No. 7
# TbEr2O3

An optimized crystal structure of TbEr2O3 (PBE-GGA, the Open Quantum Materials Database).

Computed properties:
Energy: -45.4 eV/cell

a b c (Å): 3.3656 3.3656 8.3033
angles (deg): 90.00 90.00 120.00
With the nearest neighbours (Å) after each atom.
Atoms (fractional coordinates):
Tb  0.0000  0.0000  0.0000  6 O 2.46
Er  0.3333  0.6667  0.6655  6 O 2.32-2.38
Er  0.6667  0.3333  0.3345  6 O 2.32-2.38
O  0.0000  0.0000  0.5000  6 Er 2.38
O  0.3333  0.6667  0.1825  3 Er 2.32, 3 Tb 2.46
O  0.6667  0.3333  0.8175  3 Er 2.32, 3 Tb 2.46

No. 8
# Fe2SeS

An optimized crystal structure of Fe2SeS (PBE-GGA, the Open Quantum Materials Database).

Computed properties:
Energy: -25.9 eV/cell

a b c (Å): 3.6382 3.6382 5.4611
angles (deg): 90.00 90.00 90.00
With the nearest neighbours (Å) after each atom.
Atoms (fractional coordinates):
Fe  0.0000  0.5000  0.0000  2 S 2.16, 2 Se 2.31
Fe  0.5000  0.0000  0.0000  2 S 2.16, 2 Se 2.31
Se  0.0000  0.0000  0.2598  4 Fe 2.31
S  0.5000  0.5000  0.7869  4 Fe 2.16

No. 9
# GdGe2Ir

An optimized crystal structure of GdGe2Ir (PBE-GGA, the Open Quantum Materials Database).

Computed properties:
Polymorph energy (0 for the lowest one): 69 meV/atom

a b c (Å): 8.7936 8.7936 4.4265
angles (deg): 90.00 90.00 152.35
With the nearest neighbours (Å) after each atom.
Atoms (fractional coordinates):
Gd  0.1081  0.8919  0.7500  10 Ge 3.16-3.33, 4 Ir 3.27
Gd  0.8919  0.1081  0.2500  10 Ge 3.16-3.33, 4 Ir 3.27
Ge  0.2536  0.7464  0.2500  4 Ir 2.48-2.51
Ge  0.4640  0.5360  0.7500  1 Ir 2.40, 2 Ge 2.53
Ge  0.5360  0.4640  0.2500  1 Ir 2.40, 2 Ge 2.53
Ge  0.7464  0.2536  0.7500  4 Ir 2.48-2.51
Ir  0.3235  0.6765  0.7500  5 Ge 2.40-2.51
Ir  0.6765  0.3235  0.2500  5 Ge 2.40-2.51

No. 10
# MgZnNO

An optimized crystal structure of MgZnNO (PBE-GGA, the Open Quantum Materials Database).

Computed properties:
Polymorph energy (0 for the lowest one): 111 meV/atom

a b c (Å): 3.1820 5.8655 5.2270
angles (deg): 90.00 90.00 90.00
With the nearest neighbours (Å) after each atom.
Atoms (fractional coordinates):
Mg  0.0000  0.1769  0.0000  2 O 1.96, 2 N 2.04-2.10
Mg  0.0000  0.8231  0.5000  2 O 1.96, 2 N 2.04-2.10
Zn  0.5000  0.3332  0.5075  2 N 1.97, 2 O 1.98-2.01
Zn  0.5000  0.6668  0.0075  2 N 1.97, 2 O 1.98-2.01
N  0.0000  0.1602  0.4021  2 Zn 1.97, 2 Mg 2.04-2.10
N  0.0000  0.8398  0.9021  2 Zn 1.97, 2 Mg 2.04-2.10
O  0.5000  0.3455  0.8923  2 Mg 1.96, 2 Zn 1.98-2.01
O  0.5000  0.6545  0.3923  2 Mg 1.96, 2 Zn 1.98-2.01

No. 11
# SrCdFe2

An optimized crystal structure of SrCdFe2 (PBE-GGA, the Open Quantum Materials Database).

Computed properties:
Energy: -16.6 eV/cell

a b c (Å): 4.8570 4.8570 4.8570
angles (deg): 60.00 60.00 60.00
With the nearest neighbours (Å) after each atom.
Atoms (fractional coordinates):
Sr  0.0000  0.0000  0.0000  4 Cd 2.97, 4 Fe 2.97
Cd  0.2500  0.2500  0.2500  4 Fe 2.97, 4 Sr 2.97
Fe  0.5000  0.5000  0.5000  4 Fe 2.97, 4 Cd 2.97
Fe  0.7500  0.7500  0.7500  4 Fe 2.97, 4 Sr 2.97

No. 12
# Hf2CoMo

An optimized crystal structure of Hf2CoMo (PBE-GGA, the Open Quantum Materials Database).

Computed properties:
Energy: -37.2 eV/cell

a b c (Å): 4.5445 4.5445 4.5445
angles (deg): 60.00 60.00 60.00
With the nearest neighbours (Å) after each atom.
Atoms (fractional coordinates):
Hf  0.0000  0.0000  0.0000  4 Hf 2.78, 4 Co 2.78
Hf  0.2500  0.2500  0.2500  4 Mo 2.78, 4 Hf 2.78
Co  0.7500  0.7500  0.7500  4 Mo 2.78, 4 Hf 2.78
Mo  0.5000  0.5000  0.5000  4 Hf 2.78, 4 Co 2.78